one:
# TlNiSb2

Crystalline TlNiSb2 at its relaxed geometry (GGA-PBEsol, the Alexandria database).

V   87.83 Å³ per cell
SG   No. 225

Lattice parameters (Å, degrees): 4.989 4.989 4.989 60.00 60.00 60.00
Sites, in units of the cell vectors:
Sb (0.750, 0.750, 0.750)
Tl (0.500, 0.500, 0.500)
Sb (0.250, 0.250, 0.250)
Ni (0.000, 0.000, 0.000)



two:
# TlNiSb2

Crystalline TlNiSb2 at its relaxed geometry (GGA-PBEsol, the Alexandria database).

V   93.64 Å³ per cell
SG   No. 25

Lattice parameters (Å, degrees): 3.419 3.607 7.592 90.00 90.00 90.00
Sites, in units of the cell vectors:
Ni (0.500, 0.500, 0.152)
Tl (0.000, 0.000, 0.480)
Sb (0.000, 0.000, 0.068)
Sb (0.500, 0.500, 0.799)



three:
# TlNiSb2

Crystalline TlNiSb2 at its relaxed geometry (GGA-PBEsol, the Alexandria database).

V   91.11 Å³ per cell
SG   No. 71

Lattice parameters (Å, degrees): 3.118 5.391 6.251 115.54 104.44 90.00
Sites, in units of the cell vectors:
Ni (0.000, 0.500, 0.000)
Sb (0.688, 0.688, 0.376)
Tl (0.500, 0.000, 0.000)
Sb (0.312, 0.312, 0.624)



four:
# TlNiSb2

Crystalline TlNiSb2 at its relaxed geometry (GGA-PBEsol, the Alexandria database).

V   93.50 Å³ per cell
SG   No. 44

Lattice parameters (Å, degrees): 3.203 3.236 9.303 100.02 99.91 90.00
Sites, in units of the cell vectors:
Ni (0.299, 0.799, 0.597)
Sb (0.729, 0.229, 0.457)
Tl (0.562, 0.562, 0.123)
Sb (0.911, 0.911, 0.822)



Which is the most stable structure? four is the most stable.